A geometry-optimized AgSbSe2 structure, computed with GGA-PBE.

abc: 3.0157 4.0625 7.9594
angles: 90.00 94.44 90.00
With the nearest neighbours (Å) after each atom.
Space group P2/m (No. 10)
Inequivalent atoms, fractional coordinates:
Ag (0.0000, 0.0000, 0.0000) [1 per cell]  4 Se 2.77, 2 Ag 3.02
Sb (0.0000, 0.0000, 0.5000) [1 per cell]  4 Se 2.92, 2 Sb 3.02
Se (0.0509, 0.5000, 0.7652) [2 per cell]  2 Ag 2.77, 2 Sb 2.92, 2 Se 3.02

Calculated values
VASP energy in Ha/atom: -0.1286
DOS at the Fermi energy in states/eV/cell: 0.936
Formation energy (no corrections) in eV per atom: -0.01
Total magnetization in μB/f.u.: 0.00